Entry 1:
{
  "formula": "MoRu2Br",
  "functional": "PBE",
  "state": "relaxed",
  "lattice": [[-7.3782, -1.0450, -4.8317], [-5.3994, -1.3337, -6.9241], [-6.1367, -3.6163, -5.3045]],
  "species": ["Ru", "Ru", "Mo", "Br"],
  "fractional_positions": [[0.0009, 0.0009, 0.0009], [0.7456, 0.7456, 0.7456], [0.2499, 0.2499, 0.2499], [0.5038, 0.5038, 0.5038]],
  "magnetic_moment_mub_per_atom": 0.000,
  "e_form_raw_ev_per_atom": 0.549,
  "relative_energy_mev_per_atom": 56
}

***

Entry 2:
{
  "formula": "MoRu2Br",
  "functional": "PBE",
  "state": "relaxed",
  "lattice": [[8.8719, 0.0014, 0.0008], [8.3956, 2.8677, 0.0008], [8.3956, 1.3950, 2.5055]],
  "species": ["Ru", "Ru", "Mo", "Br"],
  "fractional_positions": [[0.9971, 0.9971, 0.9971], [0.5029, 0.5029, 0.5029], [0.2500, 0.2500, 0.2500], [0.7500, 0.7500, 0.7500]],
  "magnetic_moment_mub_per_atom": 0.000,
  "e_form_raw_ev_per_atom": 0.512,
  "relative_energy_mev_per_atom": 19
}

***

Entry 3:
{
  "formula": "MoRu2Br",
  "functional": "PBE",
  "state": "relaxed",
  "lattice": [[-1.8467, 0.9785, 1.9586], [-0.5814, -2.6293, -0.9758], [5.1011, -3.5760, 6.5963]],
  "species": ["Ru", "Ru", "Mo", "Br"],
  "fractional_positions": [[0.0000, 0.0000, 0.9717], [0.0000, 0.0000, 0.5283], [0.5000, 0.5000, 0.7500], [0.5000, 0.5000, 0.2500]],
  "magnetic_moment_mub_per_atom": 0.000,
  "e_form_raw_ev_per_atom": 0.694,
  "relative_energy_mev_per_atom": 200
}

***

Entry 4:
{
  "formula": "MoRu2Br",
  "functional": "PBE",
  "state": "relaxed",
  "lattice": [[5.3314, 0.0022, -0.0030], [2.6229, 4.6415, 0.0030], [-3.4547, -3.2168, 2.4781]],
  "species": ["Ru", "Ru", "Mo", "Br"],
  "fractional_positions": [[0.0046, 0.0046, 0.0000], [0.7305, 0.2305, 0.5000], [0.2671, 0.7671, 0.5000], [0.4978, 0.4978, 0.0000]],
  "magnetic_moment_mub_per_atom": 0.000,
  "e_form_raw_ev_per_atom": 0.739,
  "relative_energy_mev_per_atom": 245
}

***

Entry 5:
{
  "formula": "MoRuBr2",
  "functional": "PBE",
  "state": "relaxed",
  "lattice": [[-0.4546, 2.9733, 0.4099], [-3.2555, -0.4681, -0.2146], [-0.3358, -1.2752, 8.8771]],
  "species": ["Ru", "Mo", "Br", "Br"],
  "fractional_positions": [[0.5000, 0.8763, 0.7008], [0.0000, 0.3734, 0.5444], [0.0000, 0.8803, 0.9364], [0.5000, 0.3700, 0.3184]],
  "magnetic_moment_mub_per_atom": 0.000,
  "e_form_raw_ev_per_atom": 0.101,
  "relative_energy_mev_per_atom": 86
}

***

Entry 6:
{
  "formula": "MoRuBr2",
  "functional": "PBE",
  "state": "relaxed",
  "lattice": [[-2.4668, -2.7940, 3.9311], [-2.8075, -0.7053, -4.5788], [0.0057, -3.1320, -0.7690]],
  "species": ["Ru", "Mo", "Br", "Br"],
  "fractional_positions": [[0.0000, 0.5000, 0.5000], [0.5000, 0.0000, 0.5000], [0.0000, 0.0000, 0.0000], [0.5000, 0.5000, 0.0000]],
  "magnetic_moment_mub_per_atom": 0.301,
  "e_form_raw_ev_per_atom": 0.989,
  "relative_energy_mev_per_atom": 975
}

***

Q: Number 5 is which compound?
A: MoRuBr2

***

Repeat the fifth record exactly.
{
  "formula": "MoRuBr2",
  "functional": "PBE",
  "state": "relaxed",
  "lattice": [[-0.4546, 2.9733, 0.4099], [-3.2555, -0.4681, -0.2146], [-0.3358, -1.2752, 8.8771]],
  "species": ["Ru", "Mo", "Br", "Br"],
  "fractional_positions": [[0.5000, 0.8763, 0.7008], [0.0000, 0.3734, 0.5444], [0.0000, 0.8803, 0.9364], [0.5000, 0.3700, 0.3184]],
  "magnetic_moment_mub_per_atom": 0.000,
  "e_form_raw_ev_per_atom": 0.101,
  "relative_energy_mev_per_atom": 86
}